No. 1
VASP calculation (PBE) on a relaxed Al5Te3O12 crystal. Values from VASP.

```
&SYSTEM
  ibrav = 0, nat = 80, ntyp = 3
/
ATOMIC_SPECIES
O 16.00 O.upf
Te 127.60 Te.upf
Al 26.98 Al.upf
CELL_PARAMETERS angstrom
10.753 0.000 0.000
-3.584 10.138 0.000
-3.584 -5.069 8.779
ATOMIC_POSITIONS angstrom
O 4.246 -1.481 8.257
O -0.773 -2.861 6.001
O -2.440 5.921 7.168
O 5.667 8.919 0.068
O 2.811 4.093 3.867
O -0.773 3.837 7.691
Te -2.688 1.901 7.682
O 2.454 6.262 1.021
Al -2.688 5.702 3.292
Al -3.584 2.534 4.390
Te 8.064 0.000 2.195
O -3.293 3.851 8.712
Te -2.688 -1.901 7.682
O 2.454 3.588 0.522
O 7.459 -1.984 5.479
Al 0.896 3.168 7.682
O 2.936 -1.565 2.846
Te 6.272 6.970 1.097
O 4.357 7.930 2.779
O 4.728 5.782 4.457
Te 0.896 5.069 2.195
O 8.188 2.207 2.779
O -4.604 2.861 6.001
O -2.936 4.356 4.457
Al 2.688 7.603 2.195
O 1.501 6.936 3.369
O 2.440 1.565 2.846
Te -4.480 5.069 6.585
Al -0.896 2.534 2.195
O -1.019 6.044 3.867
O -1.144 -0.713 4.322
O 6.149 -3.837 7.691
Te 6.272 3.168 1.097
O 1.144 3.504 5.933
O 3.293 1.867 5.411
Te -0.896 4.435 5.487
Al 6.272 -0.634 5.487
O 4.604 -0.976 4.912
Al 2.688 1.901 1.097
Te 2.688 0.000 6.585
O 2.083 -1.867 5.411
O 0.291 3.202 3.369
Al 1.792 2.534 4.390
Al -1.792 5.069 0.000
O 0.773 0.976 4.912
Al 3.584 5.069 0.000
O -3.875 7.053 3.301
Al 4.480 4.435 3.292
O -2.083 -3.851 8.712
O -1.130 0.288 7.236
O 5.667 3.085 3.301
Al 5.376 0.000 0.000
Al -0.896 8.237 1.097
O -2.565 8.906 1.089
O 4.232 4.217 7.168
O 1.130 -1.193 7.758
Al 4.480 -3.168 7.682
O 6.877 1.218 0.068
Al -1.792 -2.534 4.390
O -0.648 0.852 1.611
Al -0.896 0.634 5.487
O -4.246 -0.288 7.236
O 1.130 1.481 8.257
O -0.662 6.550 0.522
Al 0.000 0.000 0.000
O 6.024 -0.852 1.611
Al 4.480 2.534 6.585
O 4.246 1.193 7.758
Te 0.896 -0.634 3.292
Al 0.896 -2.534 6.585
Te 2.688 5.702 5.487
O 4.357 1.232 1.089
O -0.662 3.876 1.021
O 6.520 0.713 4.322
O 4.714 4.781 1.543
O 7.831 5.357 1.543
Te 4.480 0.634 3.292
O -2.083 1.984 5.479
O 0.648 6.634 5.933
Al 3.584 -2.534 4.390
```

## Properties
Symmetry ... No. 230
DOS at the Fermi energy ... 0.31 states/eV/atom
E_form (uncorrected) ... -1.9294 eV/atom

---

No. 2
VASP calculation (PBE) on a relaxed La2BrF crystal. Values from VASP.

```
&SYSTEM
  ibrav = 0, nat = 4, ntyp = 3
/
ATOMIC_SPECIES
Br 79.90 Br.upf
La 138.91 La.upf
F 19.00 F.upf
CELL_PARAMETERS angstrom
-2.125 3.180 0.487
-0.722 1.311 3.553
6.834 6.752 0.988
ATOMIC_POSITIONS angstrom
Br 1.994 5.622 2.514
La -0.942 5.777 3.952
F 0.000 0.000 0.000
La 4.930 5.466 1.076
```

## Properties
Symmetry ... No. 166
Polymorph energy (0 for the lowest one) ... 0 meV per atom
DOS at the Fermi energy ... 0.72 states/eV/atom
E_form (uncorrected) ... -1.8012 eV/atom

---

No. 3
VASP calculation (PBE) on a relaxed Ac2La5SmHo crystal. Values from VASP.

```
&SYSTEM
  ibrav = 0, nat = 18, ntyp = 4
/
ATOMIC_SPECIES
La 138.91 La.upf
Sm 150.36 Sm.upf
Ac 227.00 Ac.upf
Ho 164.93 Ho.upf
CELL_PARAMETERS angstrom
-1.489 -5.405 -0.944
6.641 2.769 -9.239
8.656 -3.299 5.232
ATOMIC_POSITIONS angstrom
La 8.967 -5.375 -0.510
La 6.033 -1.014 -3.721
La 1.492 -3.555 0.878
Sm 7.024 -4.340 -3.363
Ac 3.709 -0.884 -0.813
La 9.307 -2.263 -1.739
La 4.518 0.025 -7.280
Ac 10.477 -5.195 -3.910
La 5.104 -4.365 -0.201
Ho 0.540 -2.718 -2.429
La 12.460 -2.435 -5.743
Ho 9.083 -1.622 -5.053
La 3.589 -3.325 -3.765
Sm 2.596 0.001 -4.119
La 0.127 -0.030 -0.050
La 9.496 -4.310 -7.432
Ac 5.915 -3.455 -6.670
Ac 7.800 -2.444 1.661
```

## Properties
Symmetry ... No. 63
ΔH_f (0 K) ... 101 meV per atom
DOS at the Fermi energy ... 1.51 states/eV/atom

---

No. 4
VASP calculation (PBE) on a relaxed YAlNi2H crystal. Values from VASP.

```
&SYSTEM
  ibrav = 0, nat = 10, ntyp = 4
/
ATOMIC_SPECIES
H 1.01 H.upf
Ni 58.69 Ni.upf
Al 26.98 Al.upf
Y 88.91 Y.upf
CELL_PARAMETERS angstrom
3.688 0.000 0.000
-1.844 5.219 0.000
0.000 0.000 6.976
ATOMIC_POSITIONS angstrom
H 0.000 0.000 0.000
Ni 0.000 1.641 6.586
Ni 1.844 3.579 0.389
H 0.000 0.000 3.488
Al 1.844 2.326 5.232
Ni 1.844 3.579 3.098
Y 1.844 0.605 1.744
Al 0.000 2.894 1.744
Ni 0.000 1.641 3.877
Y 0.000 4.615 5.232
```

## Properties
Symmetry ... No. 63
DOS at the Fermi energy ... 0.40 states/eV/atom
E_tot ... -5.56 eV/atom

---

No. 5
VASP calculation (PBE) on a relaxed Mg5Bi crystal. Values from VASP.

```
&SYSTEM
  ibrav = 0, nat = 12, ntyp = 2
/
ATOMIC_SPECIES
Mg 24.30 Mg.upf
Bi 208.98 Bi.upf
CELL_PARAMETERS angstrom
-5.281 -3.425 -4.711
5.935 -0.464 2.739
-4.042 -4.716 7.960
ATOMIC_POSITIONS angstrom
Mg -4.114 -5.470 2.088
Mg -0.654 -4.680 6.500
Mg -1.082 -5.722 3.517
Bi -3.647 -4.436 5.125
Mg 2.106 -1.525 1.181
Mg -2.439 -7.305 6.188
Mg -2.734 -3.925 -0.512
Mg -0.950 -1.300 -0.200
Bi 0.259 -4.169 0.863
Mg -2.306 -2.883 2.472
Mg -5.495 -7.081 4.807
Mg 0.726 -3.135 3.900
```

## Properties
Symmetry ... No. 11
ΔH_f (0 K) ... -55 meV per atom
DOS at the Fermi energy ... 0.48 states/eV/atom

---

No. 6
VASP calculation (PBE) on a relaxed La3Pr2Te8 crystal. Values from VASP.

```
&SYSTEM
  ibrav = 0, nat = 13, ntyp = 3
/
ATOMIC_SPECIES
Te 127.60 Te.upf
La 138.91 La.upf
Pr 140.91 Pr.upf
CELL_PARAMETERS angstrom
5.480 0.000 0.000
0.000 9.580 -5.503
0.000 -0.901 9.516
ATOMIC_POSITIONS angstrom
Te 2.740 3.262 0.385
Te 2.740 5.416 3.628
La 2.740 0.000 0.000
Te 5.480 2.862 4.982
La 0.000 6.016 5.540
Te 5.480 0.917 1.596
Pr 2.740 2.056 3.576
Te 2.740 8.270 -2.492
Pr 2.740 6.622 0.437
Te 0.000 7.761 2.417
Te 0.000 5.816 -0.969
Te 2.740 0.408 6.505
La 0.000 2.662 -1.527
```

## Properties
Symmetry ... No. 65
Polymorph energy (0 for the lowest one) ... 13 meV per atom
DOS at the Fermi energy ... 0.34 states/eV/atom
E_form (uncorrected) ... -1.3322 eV/atom